(1)
Material: Tb2Er3Tl3
Method: DFT, PBE
State: optimized geometry

Cell: 10.776 10.776 10.776 Å, 156.34 153.64 35.71°
Fractional coordinates of all 8 atoms:
Tb  0.239  0.239  0.000
Tb  0.761  0.761  0.000
Er  0.000  0.000  0.000
Er  0.381  0.881  0.500
Er  0.619  0.119  0.500
Tl  0.126  0.626  0.500
Tl  0.500  0.500  0.000
Tl  0.874  0.374  0.500

Computed properties:
The uncorrected energy comes out at -31.94 eV for the cell shown. The calculation puts the formation energy from the elements at -23 kJ per mole of atoms.

(2)
Material: Tb4ErTl2
Method: DFT, PBE
State: optimized geometry

Cell: 9.347 9.347 9.347 Å, 34.16 34.16 34.16°
Fractional coordinates of all 7 atoms:
Tb  0.131  0.131  0.131
Tb  0.264  0.264  0.264
Tb  0.736  0.736  0.736
Tb  0.869  0.869  0.869
Er  0.500  0.500  0.500
Tl  0.382  0.382  0.382
Tl  0.618  0.618  0.618

Computed properties:
The uncorrected energy comes out at -27.40 eV for the cell shown. The polymorph energy (0 for the lowest one) is 0.0 meV/atom. The calculation puts the formation energy from the elements at 6 kJ per mole of atoms.

(3)
Material: Tb5ErTl6
Method: DFT, PBE
State: optimized geometry

Cell: 9.069 9.069 9.069 Å, 147.36 124.25 66.11°
Fractional coordinates of all 12 atoms:
Tb  0.000  0.000  0.000
Tb  0.166  0.666  0.500
Tb  0.333  0.333  0.000
Tb  0.667  0.667  0.000
Tb  0.834  0.334  0.500
Er  0.500  0.000  0.500
Tl  0.085  0.834  0.251
Tl  0.252  0.500  0.752
Tl  0.417  0.166  0.251
Tl  0.583  0.834  0.749
Tl  0.748  0.500  0.248
Tl  0.915  0.166  0.749

Computed properties:
The uncorrected energy comes out at -46.00 eV for the cell shown. The polymorph energy (0 for the lowest one) is 5.9 meV/atom. The calculation puts the formation energy from the elements at -33 kJ per mole of atoms.

(4)
Material: TbEr4Tl
Method: DFT, PBE
State: optimized geometry

Cell: 10.859 10.859 6.472 Å, 90.00 90.00 150.71°
Fractional coordinates of all 12 atoms:
Tb  0.064  0.936  0.500
Tb  0.936  0.064  0.000
Er  0.138  0.862  0.013
Er  0.255  0.745  0.378
Er  0.318  0.682  0.855
Er  0.460  0.540  0.676
Er  0.540  0.460  0.176
Er  0.682  0.318  0.355
Er  0.745  0.255  0.878
Er  0.862  0.138  0.513
Tl  0.397  0.603  0.251
Tl  0.603  0.397  0.751

Computed properties:
The uncorrected energy comes out at -50.05 eV for the cell shown. The polymorph energy (0 for the lowest one) is 140.8 meV/atom. The calculation puts the formation energy from the elements at 4 kJ per mole of atoms.

(5)
Material: Tb4ErTl
Method: DFT, PBE
State: optimized geometry

Cell: 3.586 3.586 14.282 Å, 90.00 90.00 90.00°
Fractional coordinates of all 6 atoms:
Tb  0.000  0.000  0.150
Tb  0.000  0.000  0.850
Tb  0.500  0.500  0.326
Tb  0.500  0.500  0.674
Er  0.000  0.000  0.500
Tl  0.500  0.500  0.000

Computed properties:
The uncorrected energy comes out at -26.08 eV for the cell shown. The polymorph energy (0 for the lowest one) is 0.0 meV/atom. The calculation puts the formation energy from the elements at -10 kJ per mole of atoms.

(6)
Material: Tb4Er2Tl
Method: DFT, PBE
State: optimized geometry

Cell: 3.572 20.535 12.344 Å, 90.00 106.76 90.00°
Fractional coordinates of all 28 atoms:
Tb  0.050  0.221  0.304
Tb  0.050  0.279  0.804
Tb  0.094  0.508  0.846
Tb  0.094  0.992  0.346
Tb  0.230  0.721  0.476
Tb  0.230  0.779  0.976
Tb  0.336  0.563  0.587
Tb  0.336  0.937  0.087
Tb  0.664  0.063  0.913
Tb  0.664  0.437  0.413
Tb  0.770  0.221  0.024
Tb  0.770  0.279  0.524
Tb  0.906  0.008  0.654
Tb  0.906  0.492  0.154
Tb  0.950  0.721  0.196
Tb  0.950  0.779  0.696
Er  0.410  0.157  0.664
Er  0.410  0.343  0.164
Er  0.415  0.099  0.167
Er  0.415  0.401  0.667
Er  0.585  0.599  0.333
Er  0.585  0.901  0.833
Er  0.590  0.657  0.836
Er  0.590  0.843  0.336
Tl  0.307  0.614  0.054
Tl  0.307  0.886  0.554
Tl  0.693  0.114  0.446
Tl  0.693  0.386  0.946

Computed properties:
The uncorrected energy comes out at -120.71 eV for the cell shown. The polymorph energy (0 for the lowest one) is 0.0 meV/atom. The calculation puts the formation energy from the elements at -2 kJ per mole of atoms.

(7)
Material: Tb6ErTl4
Method: DFT, PBE
State: optimized geometry

Cell: 9.499 9.499 9.499 Å, 140.56 140.56 57.00°
Fractional coordinates of all 11 atoms:
Tb  0.000  0.500  0.500
Tb  0.084  0.084  0.528
Tb  0.444  0.916  0.000
Tb  0.500  0.000  0.500
Tb  0.556  0.556  0.472
Tb  0.916  0.444  0.000
Er  0.000  0.000  0.000
Tl  0.108  0.623  0.000
Tl  0.377  0.377  0.486
Tl  0.623  0.108  0.000
Tl  0.892  0.892  0.514

Computed properties:
The uncorrected energy comes out at -43.33 eV for the cell shown. The calculation puts the formation energy from the elements at -13 kJ per mole of atoms.

(8)
Material: Tb12Er3Tl
Method: DFT, PBE
State: optimized geometry

Cell: 4.960 4.960 20.151 Å, 90.00 90.00 90.00°
Fractional coordinates of all 16 atoms:
Tb  0.000  0.000  0.000
Tb  0.000  0.000  0.246
Tb  0.000  0.000  0.500
Tb  0.000  0.000  0.754
Tb  0.000  0.500  0.122
Tb  0.000  0.500  0.374
Tb  0.000  0.500  0.626
Tb  0.000  0.500  0.878
Tb  0.500  0.000  0.122
Tb  0.500  0.000  0.374
Tb  0.500  0.000  0.626
Tb  0.500  0.000  0.878
Er  0.500  0.500  0.249
Er  0.500  0.500  0.500
Er  0.500  0.500  0.751
Tl  0.500  0.500  0.000

Computed properties:
The uncorrected energy comes out at -72.07 eV for the cell shown. The calculation puts the formation energy from the elements at -3 kJ per mole of atoms.

(9)
Material: Tb5Er3Tl2
Method: DFT, PBE
State: optimized geometry

Cell: 10.541 10.541 10.541 Å, 104.72 86.03 144.61°
Fractional coordinates of all 20 atoms:
Tb  0.166  0.117  0.283
Tb  0.250  0.000  0.750
Tb  0.250  0.250  0.000
Tb  0.250  0.500  0.250
Tb  0.334  0.617  0.952
Tb  0.666  0.383  0.048
Tb  0.750  0.000  0.250
Tb  0.750  0.500  0.750
Tb  0.750  0.750  0.000
Tb  0.834  0.883  0.717
Er  0.223  0.385  0.608
Er  0.250  0.750  0.500
Er  0.277  0.885  0.162
Er  0.723  0.115  0.838
Er  0.750  0.250  0.500
Er  0.777  0.615  0.392
Tl  0.144  0.629  0.773
Tl  0.356  0.129  0.485
Tl  0.644  0.871  0.515
Tl  0.856  0.371  0.227

Computed properties:
The uncorrected energy comes out at -79.85 eV for the cell shown. The calculation puts the formation energy from the elements at 16 kJ per mole of atoms.

(10)
Material: TbEr2Tl4
Method: DFT, PBE
State: optimized geometry

Cell: 6.459 6.459 6.459 Å, 109.11 109.11 110.19°
Fractional coordinates of all 7 atoms:
Tb  0.000  0.000  0.000
Er  0.000  0.500  0.500
Er  0.500  0.000  0.500
Tl  0.000  0.000  0.500
Tl  0.000  0.500  0.000
Tl  0.500  0.000  0.000
Tl  0.500  0.500  0.500

Computed properties:
The uncorrected energy comes out at -24.73 eV for the cell shown. The polymorph energy (0 for the lowest one) is 0.0 meV/atom. The calculation puts the formation energy from the elements at -21 kJ per mole of atoms.

(11)
Material: Tb3Er6Tl
Method: DFT, PBE
State: optimized geometry

Cell: 10.903 10.903 6.157 Å, 90.00 90.00 122.48°
Fractional coordinates of all 20 atoms:
Tb  0.104  0.896  0.500
Tb  0.213  0.453  0.840
Tb  0.453  0.213  0.340
Tb  0.547  0.787  0.840
Tb  0.787  0.547  0.340
Tb  0.896  0.104  0.000
Er  0.068  0.465  0.308
Er  0.127  0.209  0.473
Er  0.209  0.127  0.973
Er  0.213  0.787  0.072
Er  0.442  0.558  0.328
Er  0.465  0.068  0.808
Er  0.535  0.932  0.308
Er  0.558  0.442  0.828
Er  0.787  0.213  0.572
Er  0.791  0.873  0.473
Er  0.873  0.791  0.973
Er  0.932  0.535  0.808
Tl  0.263  0.737  0.584
Tl  0.737  0.263  0.084

Computed properties:
The uncorrected energy comes out at -86.51 eV for the cell shown. The polymorph energy (0 for the lowest one) is 19.9 meV/atom. The calculation puts the formation energy from the elements at 4 kJ per mole of atoms.

(12)
Material: Tb3Er2Tl2
Method: DFT, PBE
State: optimized geometry

Cell: 11.966 11.966 3.497 Å, 90.00 90.00 155.92°
Fractional coordinates of all 7 atoms:
Tb  0.000  0.000  0.000
Tb  0.147  0.853  0.000
Tb  0.853  0.147  0.000
Er  0.286  0.714  0.500
Er  0.714  0.286  0.500
Tl  0.427  0.573  0.500
Tl  0.573  0.427  0.500

Computed properties:
The uncorrected energy comes out at -28.38 eV for the cell shown. The polymorph energy (0 for the lowest one) is 103.9 meV/atom. The calculation puts the formation energy from the elements at -9 kJ per mole of atoms.

(13)
Material: Tb4Er3Tl
Method: DFT, PBE
State: optimized geometry

Cell: 11.154 7.023 6.164 Å, 90.00 90.00 90.00°
Fractional coordinates of all 16 atoms:
Tb  0.000  0.129  0.000
Tb  0.000  0.869  0.462
Tb  0.236  0.872  0.823
Tb  0.264  0.128  0.323
Tb  0.500  0.131  0.962
Tb  0.500  0.871  0.500
Tb  0.736  0.128  0.323
Tb  0.764  0.872  0.823
Er  0.000  0.369  0.473
Er  0.244  0.383  0.803
Er  0.256  0.617  0.303
Er  0.500  0.631  0.973
Er  0.744  0.617  0.303
Er  0.756  0.383  0.803
Tl  0.000  0.615  0.982
Tl  0.500  0.385  0.482

Computed properties:
The uncorrected energy comes out at -70.17 eV for the cell shown. The calculation puts the formation energy from the elements at -6 kJ per mole of atoms.

(14)
Material: Tb2Er2Tl3
Method: DFT, PBE
State: optimized geometry

Cell: 3.747 6.983 8.816 Å, 68.85 89.95 74.44°
Fractional coordinates of all 7 atoms:
Tb  0.113  0.275  0.445
Tb  0.887  0.725  0.555
Er  0.378  0.745  0.183
Er  0.622  0.255  0.817
Tl  0.000  0.500  0.000
Tl  0.304  0.892  0.784
Tl  0.696  0.108  0.216

Computed properties:
The uncorrected energy comes out at -26.73 eV for the cell shown. The polymorph energy (0 for the lowest one) is 32.0 meV/atom. The calculation puts the formation energy from the elements at -17 kJ per mole of atoms.

(15)
Material: TbErTl
Method: DFT, PBE
State: optimized geometry

Cell: 5.402 5.402 6.716 Å, 90.00 90.00 120.00°
Fractional coordinates of all 6 atoms:
Tb  0.333  0.667  0.250
Tb  0.667  0.333  0.750
Er  0.000  0.000  0.000
Er  0.000  0.000  0.500
Tl  0.333  0.667  0.750
Tl  0.667  0.333  0.250

Computed properties:
The uncorrected energy comes out at -24.64 eV for the cell shown. The polymorph energy (0 for the lowest one) is 3.1 meV/atom. The calculation puts the formation energy from the elements at -24 kJ per mole of atoms.

(16)
Material: Tb5ErTl2
Method: DFT, PBE
State: optimized geometry

Cell: 5.414 5.414 20.123 Å, 90.00 90.00 120.00°
Fractional coordinates of all 16 atoms:
Tb  0.000  0.000  0.164
Tb  0.000  0.000  0.336
Tb  0.000  0.000  0.664
Tb  0.000  0.000  0.836
Tb  0.333  0.667  0.061
Tb  0.333  0.667  0.250
Tb  0.333  0.667  0.439
Tb  0.667  0.333  0.561
Tb  0.667  0.333  0.750
Tb  0.667  0.333  0.939
Er  0.333  0.667  0.750
Er  0.667  0.333  0.250
Tl  0.333  0.667  0.596
Tl  0.333  0.667  0.904
Tl  0.667  0.333  0.096
Tl  0.667  0.333  0.404

Computed properties:
The uncorrected energy comes out at -65.76 eV for the cell shown. The polymorph energy (0 for the lowest one) is 48.1 meV/atom. The calculation puts the formation energy from the elements at -5 kJ per mole of atoms.

(17)
Material: Tb2Er3Tl
Method: DFT, PBE
State: optimized geometry

Cell: 7.919 7.919 4.862 Å, 90.00 90.00 144.45°
Fractional coordinates of all 6 atoms:
Tb  0.162  0.838  0.000
Tb  0.838  0.162  0.000
Er  0.000  0.000  0.500
Er  0.331  0.669  0.500
Er  0.669  0.331  0.500
Tl  0.500  0.500  0.000

Computed properties:
The uncorrected energy comes out at -25.95 eV for the cell shown. The polymorph energy (0 for the lowest one) is 0.0 meV/atom. The calculation puts the formation energy from the elements at -10 kJ per mole of atoms.

(18)
Material: Tb4Er2Tl
Method: DFT, PBE
State: optimized geometry

Cell: 5.633 6.760 11.641 Å, 90.00 102.73 90.00°
Fractional coordinates of all 14 atoms:
Tb  0.114  0.250  0.142
Tb  0.224  0.750  0.413
Tb  0.334  0.511  0.706
Tb  0.334  0.989  0.706
Tb  0.666  0.011  0.294
Tb  0.666  0.489  0.294
Tb  0.776  0.250  0.587
Tb  0.886  0.750  0.858
Er  0.212  0.250  0.437
Er  0.453  0.750  0.022
Er  0.547  0.250  0.978
Er  0.788  0.750  0.563
Tl  0.012  0.750  0.141
Tl  0.988  0.250  0.859

Computed properties:
The uncorrected energy comes out at -60.01 eV for the cell shown. The polymorph energy (0 for the lowest one) is 24.9 meV/atom. The calculation puts the formation energy from the elements at 0 kJ per mole of atoms.

(19)
Material: Tb5ErTl5
Method: DFT, PBE
State: optimized geometry

Cell: 9.314 9.314 7.023 Å, 111.26 111.26 35.75°
Fractional coordinates of all 11 atoms:
Tb  0.000  0.000  0.000
Tb  0.313  0.313  0.304
Tb  0.363  0.363  0.851
Tb  0.637  0.637  0.149
Tb  0.687  0.687  0.696
Er  0.000  0.000  0.500
Tl  0.162  0.162  0.894
Tl  0.163  0.163  0.431
Tl  0.500  0.500  0.500
Tl  0.837  0.837  0.569
Tl  0.838  0.838  0.106

Computed properties:
The uncorrected energy comes out at -40.77 eV for the cell shown. The calculation puts the formation energy from the elements at -11 kJ per mole of atoms.

(20)
Material: Tb5Er2Tl4
Method: DFT, PBE
State: optimized geometry

Cell: 8.861 8.861 8.861 Å, 145.58 106.76 83.49°
Fractional coordinates of all 11 atoms:
Tb  0.000  0.000  0.000
Tb  0.125  0.281  0.843
Tb  0.438  0.281  0.157
Tb  0.562  0.719  0.843
Tb  0.875  0.719  0.157
Er  0.169  0.669  0.500
Er  0.831  0.331  0.500
Tl  0.208  0.500  0.708
Tl  0.391  0.891  0.500
Tl  0.609  0.109  0.500
Tl  0.792  0.500  0.292

Computed properties:
The uncorrected energy comes out at -40.42 eV for the cell shown. The calculation puts the formation energy from the elements at 12 kJ per mole of atoms.